# AcSmSn, optimized geometry, DFT PBE
# energy relative to the lowest polymorph listed for this composition: 0.0 meV/atom
# magnetization: 0.0 μB/f.u.
# total DFT energy (no corrections): -55.8 eV for the cell shown
data_AcSmSn
_chemical_formula_sum 'Ac4 Sm4 Sn4'
_symmetry_space_group_name_H-M 'F -4 3 m'
_symmetry_Int_Tables_number 216
_symmetry_space_group_name_Hall 'F -4 2 3'
_cell_length_a 7.6946
_cell_length_b 7.6946
_cell_length_c 7.6946
_cell_angle_alpha 90.00
_cell_angle_beta 90.00
_cell_angle_gamma 90.00
loop_
_atom_site_label
_atom_site_type_symbol
_atom_site_fract_x
_atom_site_fract_y
_atom_site_fract_z
_atom_site_occupancy
Ac1 Ac 0.0000 0.0000 0.0000 1
Sm1 Sm 0.0000 0.0000 0.5000 1
Sn1 Sn 0.2500 0.2500 0.2500 1